(1)
A plane-wave DFT calculation with PBE was carried out for a relaxed structure of Tb5DyEr7.

```
Tb5DyEr7
1.0
-3.315 5.517 5.721
3.315 -5.517 5.721
3.315 5.517 -5.721
Tb Dy Er
5 1 7
Direct
0.000 0.000 0.000
0.226 0.269 0.495
0.226 0.731 0.957
0.774 0.269 0.043
0.774 0.731 0.505
0.197 0.697 0.500
0.081 0.251 0.830
0.421 0.251 0.170
0.499 0.499 0.000
0.502 0.002 0.500
0.580 0.749 0.831
0.807 0.307 0.500
0.918 0.749 0.169
```

Output
The calculation puts the formation energy at 262.9 meV/atom. The total DFT energy (no corrections) comes out at -4.33 eV per atom. Its volume is 418.6 Å³/cell. For the energy relative to the lowest polymorph listed for this composition, the calculation gives 0.004 eV per atom.


(2)
A plane-wave DFT calculation with PBE was carried out for a relaxed structure of TbDyEr5.

```
TbDyEr5
1.0
5.772 -3.340 0.000
5.772 3.340 0.000
-4.111 0.000 11.326
Tb Dy Er
2 2 10
Direct
0.027 0.973 0.750
0.973 0.027 0.250
0.000 0.500 0.000
0.500 0.000 0.500
0.141 0.419 0.752
0.191 0.653 0.500
0.347 0.809 0.000
0.415 0.585 0.250
0.419 0.141 0.252
0.581 0.859 0.748
0.585 0.415 0.750
0.653 0.191 0.000
0.809 0.347 0.500
0.859 0.581 0.248
```

Output
The calculation puts the formation energy at 199.9 meV/atom. The total DFT energy (no corrections) comes out at -4.38 eV per atom. Its volume is 436.7 Å³/cell. For the energy relative to the lowest polymorph listed for this composition, the calculation gives 0.000 eV per atom.


(3)
A plane-wave DFT calculation with PBE was carried out for a relaxed structure of Tb10Dy4Er.

```
Tb10Dy4Er
1.0
-6.058 6.058 3.832
6.058 -6.058 3.832
6.058 6.058 -3.832
Tb Dy Er
10 4 1
Direct
0.050 0.151 0.701
0.151 0.450 0.101
0.250 0.750 0.500
0.350 0.050 0.899
0.450 0.350 0.299
0.550 0.650 0.701
0.650 0.950 0.101
0.750 0.250 0.500
0.849 0.550 0.899
0.950 0.849 0.299
0.100 0.299 0.400
0.299 0.900 0.199
0.701 0.100 0.801
0.900 0.701 0.600
0.500 0.500 0.000
```

Output
The calculation puts the formation energy at 724.4 meV/atom. The total DFT energy (no corrections) comes out at -3.89 eV per atom. Its volume is 562.4 Å³/cell.